--- w ---
Computed, not measured: a relaxed InPd2Au2 crystal at the GGA-PBE level of DFT.

```
InPd2Au2
1.0
4.4357 0.0046 -1.4530
-0.7856 5.3128 -2.3815
0.0234 0.1482 7.5692
In Pd Au
2 4 4
direct
0.3712 0.1212 0.2424 In
0.6288 0.8788 0.7576 In
0.8148 0.3138 0.1295 Pd
0.8148 0.8157 0.1295 Pd
0.1852 0.1843 0.8705 Pd
0.1852 0.6862 0.8705 Pd
0.6260 0.3760 0.7520 Au
0.9992 0.7492 0.4985 Au
0.0008 0.2508 0.5015 Au
0.3740 0.6240 0.2480 Au
```

Summary:
SG	Imma, No. 74

***

--- x ---
Computed, not measured: a relaxed InPd2Au2 crystal at the GGA-PBE level of DFT.

```
InPd2Au2
1.0
-0.3466 6.6664 1.8185
-4.7256 1.0998 -4.9322
-2.8493 -0.8416 2.5422
Au Pd In
4 4 2
direct
0.1583 0.6583 0.5000 Au
0.6583 0.8417 0.5000 Au
0.8417 0.3417 0.5000 Au
0.3417 0.1583 0.5000 Au
0.3609 0.8609 0.0000 Pd
0.8609 0.6391 0.0000 Pd
0.6391 0.1391 0.0000 Pd
0.1391 0.3609 0.0000 Pd
0.0000 0.0000 0.0000 In
0.5000 0.5000 0.0000 In
```

Summary:
SG	P4/mbm, No. 127

***

--- y ---
Computed, not measured: a relaxed InPd2Au2 crystal at the GGA-PBE level of DFT.

```
InPd2Au2
1.0
4.1061 0.0000 0.0000
2.0531 4.3524 -1.4363
2.0531 -1.4449 10.1956
In Pd Au
2 4 4
direct
0.4967 0.2490 0.7576 In
0.5033 0.7510 0.2424 In
0.6995 0.2521 0.3489 Pd
0.9026 0.2461 0.9486 Pd
0.3005 0.7479 0.6511 Pd
0.0974 0.7539 0.0514 Pd
0.1006 0.2509 0.5479 Au
0.6994 0.7482 0.8530 Au
0.8994 0.7491 0.4521 Au
0.3006 0.2518 0.1470 Au
```

Summary:
SG	C2/m, No. 12

***

--- z ---
Computed, not measured: a relaxed InPd2Au2 crystal at the GGA-PBE level of DFT.

```
InPd2Au2
1.0
3.8306 0.0000 0.0000
0.0000 3.8306 0.0000
1.9153 1.9153 6.7092
Au Pd In
2 2 1
direct
0.3988 0.3988 0.2024 Au
0.6012 0.6012 0.7976 Au
0.7500 0.2500 0.5000 Pd
0.2500 0.7500 0.5000 Pd
0.0000 0.0000 0.0000 In
```

Summary:
SG	I4/mmm, No. 139

***

Of them, the most stable is y and the least stable is z.

***

--- w ---
Computed, not measured: a relaxed InPd6Au crystal at the GGA-PBE level of DFT.

```
InPd6Au
1.0
-4.0862 1.5238 -1.6348
-1.3644 -5.2976 -1.5274
-1.3636 1.8974 5.1768
In Pd Au
1 6 1
direct
0.5000 0.4164 0.5836 In
0.0000 0.0803 0.4148 Pd
0.0000 0.5852 0.9197 Pd
0.0000 0.5853 0.4147 Pd
0.5000 0.4172 0.0841 Pd
0.5000 0.9159 0.5828 Pd
0.5000 0.9158 0.0842 Pd
0.0000 0.0835 0.9165 Au
```

Summary:
SG	P-6m2, No. 187

***

--- x ---
Computed, not measured: a relaxed InPd6Au crystal at the GGA-PBE level of DFT.

```
InPd6Au
1.0
-1.3521 -4.0028 -5.5571
-3.9930 -6.3986 0.4466
-4.3693 -1.8731 -1.9732
In Pd Au
1 6 1
direct
0.5000 0.5000 0.5000 In
0.9561 0.4578 0.8350 Pd
0.7510 0.9559 0.7506 Pd
0.4583 0.2490 0.3363 Pd
0.2490 0.0441 0.2494 Pd
0.0439 0.5422 0.1650 Pd
0.5417 0.7510 0.6637 Pd
0.0000 0.0000 0.0000 Au
```

Summary:
SG	P-1, No. 2

***

Of them, the most stable is w and the least stable is x.